1.
Material: Mg4Sn2Rh
Method: DFT, PBE-GGA
State: relaxed

For the energy of formation from the pure elements, the calculation gives -262 meV/atom. Its crystal system is orthorhombic. The energy above the most stable polymorph in this dataset is 0 meV per atom.

It has space group Cmmm (No. 65), with a = 8.0280 Å, b = 8.4724 Å, c = 4.4016 Å, α = 90.00°, β = 90.00° and γ = 90.00°. Symmetry generates all atoms from Mg at (0.2158, 0.0000, 0.0000), Mg at (0.2500, 0.2500, 0.5000), Sn at (0.0000, 0.2841, 0.0000) and Rh at (0.0000, 0.5000, 0.5000).

---

2.
Material: ScZn2Fe
Method: DFT, PBE-GGA
State: relaxed

For the energy of formation from the pure elements, the calculation gives -20 meV/atom. Its crystal system is orthorhombic.

It has space group Imm2 (No. 44), with a = 3.0844 Å, b = 4.6110 Å, c = 8.7728 Å, α = 90.00°, β = 90.00° and γ = 90.00°. Symmetry generates all atoms from Sc at (0.0000, 0.0000, 0.0000), Zn at (0.0000, 0.0000, 0.5154), Zn at (0.0000, 0.5000, 0.7764) and Fe at (0.0000, 0.5000, 0.2482).

---

3.
Material: HgSbPd4
Method: DFT, PBE-GGA
State: relaxed

Its crystal system is monoclinic. As for the uncorrected formation energy: -23 kJ per mole of atoms. The energy above the most stable polymorph in this dataset is 16 meV per atom.

It has space group C2/m (No. 12), with a = 9.4573 Å, b = 3.5600 Å, c = 6.6176 Å, α = 90.00°, β = 110.58° and γ = 90.00°. Symmetry generates all atoms from Hg at (0.0000, 0.0000, 0.0000), Sb at (0.0000, 0.0000, 0.5000), Pd at (0.1548, 0.5000, 0.3430) and Pd at (0.1708, 0.5000, 0.8216).

---

4.
Material: La6YCo3
Method: DFT, PBE-GGA
State: relaxed

For the energy of formation from the pure elements, the calculation gives -85 meV/atom. Its crystal system is orthorhombic.

It has space group Cmc2_1 (No. 36), with a = 11.2607 Å, b = 13.6661 Å, c = 7.2442 Å, α = 90.00°, β = 90.00° and γ = 90.00°. Symmetry generates all atoms from La at (0.0000, 0.0273, 0.0000), La at (0.0000, 0.3304, 0.1159), La at (0.1667, 0.4537, 0.4890), La at (0.2248, 0.1840, 0.3658), Y at (0.0000, 0.2226, 0.6726), Co at (0.0000, 0.4097, 0.8077) and Co at (0.1998, 0.1048, 0.6913).

---

5.
Material: LiPrAg
Method: DFT, PBE-GGA
State: relaxed

For the energy of formation from the pure elements, the calculation gives -145 meV/atom. Its crystal system is monoclinic. The energy above the most stable polymorph in this dataset is 0 meV per atom.

It has space group P2_1/m (No. 11), with a = 3.6934 Å, b = 3.6303 Å, c = 10.6466 Å, α = 90.00°, β = 90.08° and γ = 90.00°. Symmetry generates all atoms from Li at (0.2497, 0.2500, 0.0694), Pr at (0.2491, 0.2500, 0.3753) and Ag at (0.2510, 0.2500, 0.8072).

---

6.
Material: Ti5CoNi
Method: DFT, PBE-GGA
State: relaxed

For the energy of formation from the pure elements, the calculation gives -48 meV/atom. Its crystal system is monoclinic.

It has space group C2/c (No. 15), with a = 7.3698 Å, b = 6.3144 Å, c = 9.6371 Å, α = 90.00°, β = 105.63° and γ = 90.00°. Symmetry generates all atoms from Ti at (0.0000, 0.0343, 0.2500), Ti at (0.1291, 0.3529, 0.5537), Ti at (0.2273, 0.3097, 0.8658), Co at (0.0000, 0.0000, 0.0000) and Ni at (0.0000, 0.4128, 0.2500).

---

7.
Material: YZnAgPt
Method: DFT, PBE-GGA
State: relaxed

For the energy of formation from the pure elements, the calculation gives -557 meV/atom. Its crystal system is cubic.

It has space group F-43m (No. 216), with a = 6.7366 Å, b = 6.7366 Å, c = 6.7366 Å, α = 90.00°, β = 90.00° and γ = 90.00°. Symmetry generates all atoms from Y at (0.0000, 0.0000, 0.0000), Zn at (0.0000, 0.0000, 0.5000), Ag at (0.2500, 0.2500, 0.2500) and Pt at (0.2500, 0.2500, 0.7500).

---

8.
Material: TaNiPtRh
Method: DFT, PBE-GGA
State: relaxed

For the energy of formation from the pure elements, the calculation gives -583 meV/atom. Its crystal system is tetragonal.

It has space group I-4m2 (No. 119), with a = 3.9063 Å, b = 3.9063 Å, c = 7.6326 Å, α = 90.00°, β = 90.00° and γ = 90.00°. Symmetry generates all atoms from Ta at (0.0000, 0.0000, 0.0000), Ni at (0.0000, 0.0000, 0.5000), Pt at (0.0000, 0.5000, 0.7500) and Rh at (0.0000, 0.5000, 0.2500).

---

9.
Material: NdEuSc2
Method: DFT, PBE-GGA
State: relaxed

For the energy of formation from the pure elements, the calculation gives 130 meV/atom. Its crystal system is tetragonal. The energy above the most stable polymorph in this dataset is 0 meV per atom.

It has space group P4/mmm (No. 123), with a = 3.5916 Å, b = 3.5916 Å, c = 9.4358 Å, α = 90.00°, β = 90.00° and γ = 90.00°. Symmetry generates all atoms from Nd at (0.0000, 0.0000, 0.0000), Eu at (0.0000, 0.0000, 0.5000) and Sc at (0.5000, 0.5000, 0.2387).

---

10.
Material: Ca4Nd9In11
Method: DFT, PBE-GGA
State: relaxed

For the energy of formation from the pure elements, the calculation gives -412 meV/atom. Its crystal system is orthorhombic.

It has space group Cmmm (No. 65), with a = 16.5245 Å, b = 24.0294 Å, c = 3.5665 Å, α = 90.00°, β = 90.00° and γ = 90.00°. Symmetry generates all atoms from Ca at (0.1765, 0.0830, 0.0000), Nd at (0.0000, 0.0000, 0.0000), Nd at (0.1088, 0.4034, 0.0000), Nd at (0.1110, 0.2229, 0.0000), In at (0.0000, 0.1206, 0.5000), In at (0.0000, 0.3121, 0.5000), In at (0.0000, 0.5000, 0.5000), In at (0.2032, 0.5000, 0.5000) and In at (0.2261, 0.3143, 0.5000).

---

11.
Material: LiMgTa
Method: DFT, PBE-GGA
State: relaxed

For the energy of formation from the pure elements, the calculation gives 328 meV/atom. Its crystal system is triclinic. The energy above the most stable polymorph in this dataset is 247 meV per atom.

It has space group P1 (No. 1), with a = 2.8384 Å, b = 5.5748 Å, c = 7.4740 Å, α = 84.03°, β = 79.27° and γ = 89.41°. Symmetry generates all atoms from Li at (0.0000, 0.0000, 0.0000), Li at (0.3599, 0.7289, 0.3267), Mg at (0.5067, 0.4760, 0.0021), Mg at (0.6901, 0.8384, 0.6586), Ta at (0.1972, 0.3341, 0.6456) and Ta at (0.8479, 0.2413, 0.3477).

---

12.
Material: Er8ThSc2
Method: DFT, PBE-GGA
State: relaxed

For the energy of formation from the pure elements, the calculation gives 132 meV/atom. Its crystal system is orthorhombic. The energy above the most stable polymorph in this dataset is 86 meV per atom.

It has space group Immm (No. 71), with a = 5.2544 Å, b = 8.1465 Å, c = 15.5638 Å, α = 90.00°, β = 90.00° and γ = 90.00°. Symmetry generates all atoms from Er at (0.0000, 0.0000, 0.1588), Er at (0.0000, 0.2069, 0.3525), Er at (0.0000, 0.2954, 0.0000), Th at (0.0000, 0.5000, 0.5000) and Sc at (0.0000, 0.5000, 0.2006).

---

What density of states at the Fermi level values result from the calculations? In sequence: 2.52 3.81 3.13 9.93 2.23 10.71 3.19 2.91 5.97 22.04 2.00 20.11 states/eV/f.u..